No. 1
LiTa5 PBE relaxed; polymorph energy (0 for the lowest one) = 0.092 eV/atom; energy of formation = 331 meV/atom; raw total energy = -59.19 eV per cell
1.0
-1.714 5.876 -5.490
1.178 -7.425 3.331
-4.773 -0.171 1.308
Li Ta
1 5
direct
0.009 0.991 0.000
0.343 0.657 0.000
0.676 0.324 0.000
0.435 0.565 0.500
0.769 0.231 0.500
0.101 0.899 0.500

=====

No. 2
NbCuBr2N PBE relaxed; raw total energy = -24.83 eV per cell; formation energy from raw total energies = 0.20 eV/atom
1.0
-1.280 3.574 -3.802
-0.556 -2.902 -2.541
-5.162 -0.292 1.464
Nb Cu Br N
1 1 2 1
direct
0.000 0.000 0.000
0.500 0.500 0.500
0.000 0.000 0.500
0.500 0.000 0.000
0.000 0.500 0.000